A relaxed GdHoMn2 crystal. Source: the Alexandria database, functional PBE.

a = 4.984 Å, b = 4.984 Å, c = 4.984 Å
α = 60.00°, β = 60.00°, γ = 60.00°
Sites, in units of the cell vectors:
Gd 0.000 0.000 0.000
Ho 0.500 0.500 0.500
Mn 0.250 0.250 0.250
Mn 0.750 0.750 0.750

Results
Formation enthalpy at 0 K   0.1795 eV per atom
Space-group type   Fm-3m (225)

A relaxed Gd3HoMn crystal. Source: the Alexandria database, functional PBE.

a = 5.299 Å, b = 5.299 Å, c = 5.299 Å
α = 90.00°, β = 90.00°, γ = 90.00°
Sites, in units of the cell vectors:
Gd 0.000 0.000 0.500
Gd 0.000 0.500 0.000
Gd 0.500 0.000 0.000
Ho 0.500 0.500 0.500
Mn 0.000 0.000 0.000

Results
Formation enthalpy at 0 K   0.2063 eV per atom
Space-group type   Pm-3m (221)